(1)
# PBE-GGA MgSi2P, optimized geometry
data_MgSi2P
_symmetry_space_group_name_H-M 'C m m m'
_symmetry_Int_Tables_number 65
_symmetry_space_group_name_Hall '-C 2 2'
_cell_length_a 4.595
_cell_length_b 4.830
_cell_length_c 5.930
_cell_angle_alpha 90.00
_cell_angle_beta 90.00
_cell_angle_gamma 90.00
loop_
_atom_site_label
_atom_site_fract_x
_atom_site_fract_y
_atom_site_fract_z
Mg1 0.000 0.000 0.000
Si1 0.000 0.500 0.297
P1 0.000 0.000 0.500
# ΔE to the lowest computed polymorph   0.217 eV per atom

=====

(2)
# PBE-GGA CaNdS2, optimized geometry
data_CaNdS2
_symmetry_space_group_name_H-M 'R 3 m'
_symmetry_Int_Tables_number 160
_symmetry_space_group_name_Hall 'R 3 -2"'
_cell_length_a 3.9580
_cell_length_b 3.9580
_cell_length_c 21.1727
_cell_angle_alpha 90.00
_cell_angle_beta 90.00
_cell_angle_gamma 120.00
loop_
_atom_site_label
_atom_site_fract_x
_atom_site_fract_y
_atom_site_fract_z
Ca1 0.0000 0.0000 0.0000
Nd1 0.0000 0.0000 0.1736
S1 0.0000 0.0000 0.5886
S2 0.0000 0.0000 0.7548
# ΔE to the lowest computed polymorph   0.107 eV per atom

=====

(3)
# PBE-GGA LaSmCuPd, optimized geometry
data_LaSmCuPd
_symmetry_space_group_name_H-M 'F -4 3 m'
_symmetry_Int_Tables_number 216
_symmetry_space_group_name_Hall 'F -4 2 3'
_cell_length_a 7.253
_cell_length_b 7.253
_cell_length_c 7.253
_cell_angle_alpha 90.00
_cell_angle_beta 90.00
_cell_angle_gamma 90.00
loop_
_atom_site_label
_atom_site_fract_x
_atom_site_fract_y
_atom_site_fract_z
La1 0.000 0.000 0.000
Sm1 0.000 0.000 0.500
Cu1 0.250 0.250 0.250
Pd1 0.250 0.250 0.750
# ΔE to the lowest computed polymorph   0.055 eV per atom

=====

(4)
# PBE-GGA Nb2InTe, optimized geometry
data_Nb2InTe
_symmetry_space_group_name_H-M 'I -4 2 d'
_symmetry_Int_Tables_number 122
_symmetry_space_group_name_Hall 'I -4 2bw'
_cell_length_a 4.206
_cell_length_b 4.206
_cell_length_c 20.283
_cell_angle_alpha 90.00
_cell_angle_beta 90.00
_cell_angle_gamma 90.00
loop_
_atom_site_label
_atom_site_fract_x
_atom_site_fract_y
_atom_site_fract_z
Nb1 0.239 0.250 0.125
In1 0.000 0.000 0.000
Te1 0.000 0.000 0.500
# ΔE to the lowest computed polymorph   0.213 eV per atom

=====

Repeat the fourth record exactly.
# PBE-GGA Nb2InTe, optimized geometry
data_Nb2InTe
_symmetry_space_group_name_H-M 'I -4 2 d'
_symmetry_Int_Tables_number 122
_symmetry_space_group_name_Hall 'I -4 2bw'
_cell_length_a 4.206
_cell_length_b 4.206
_cell_length_c 20.283
_cell_angle_alpha 90.00
_cell_angle_beta 90.00
_cell_angle_gamma 90.00
loop_
_atom_site_label
_atom_site_fract_x
_atom_site_fract_y
_atom_site_fract_z
Nb1 0.239 0.250 0.125
In1 0.000 0.000 0.000
Te1 0.000 0.000 0.500
# ΔE to the lowest computed polymorph   0.213 eV per atom